--- one ---
Entry from Alexandria: Na3Hg4Pd after structural relaxation (GGA-PBE).

```
data_Na3Hg4Pd
_symmetry_space_group_name_H-M 'I m m 2'
_symmetry_Int_Tables_number 44
_symmetry_space_group_name_Hall 'I 2 -2'
_cell_length_a 6.260
_cell_length_b 10.690
_cell_length_c 6.234
_cell_angle_alpha 90.00
_cell_angle_beta 90.00
_cell_angle_gamma 90.00
loop_
_atom_site_label
_atom_site_fract_x
_atom_site_fract_y
_atom_site_fract_z
Na1 0.000 0.000 0.000
Na2 0.000 0.303 0.280
Hg1 0.000 0.253 0.767
Hg2 0.237 0.000 0.492
Pd1 0.000 0.500 0.625
```

Summary:
Its density of states at the Fermi level is 0.28 states/eV per atom. As for the volume: 26.07 A^3/atom. The calculation puts the theoretical density at 7.784 g cm⁻³.

=====

--- two ---
Entry from Alexandria: Na3Hg4Pd after structural relaxation (GGA-PBE).

```
data_Na3Hg4Pd
_symmetry_space_group_name_H-M 'P 4/m m m'
_symmetry_Int_Tables_number 123
_symmetry_space_group_name_Hall '-P 4 2'
_cell_length_a 3.518
_cell_length_b 3.518
_cell_length_c 15.264
_cell_angle_alpha 90.00
_cell_angle_beta 90.00
_cell_angle_gamma 90.00
loop_
_atom_site_label
_atom_site_fract_x
_atom_site_fract_y
_atom_site_fract_z
Na1 0.000 0.000 0.000
Na2 0.000 0.000 0.275
Hg1 0.500 0.500 0.136
Hg2 0.500 0.500 0.399
Pd1 0.000 0.000 0.500
```

Summary:
Its density of states at the Fermi level is 0.28 states/eV per atom. As for the volume: 23.62 A^3/atom. The calculation puts the theoretical density at 8.594 g cm⁻³.

=====

Least stable: one

=====

--- one ---
Entry from Alexandria: NaHg6Pd5 after structural relaxation (GGA-PBE).

```
data_NaHg6Pd5
_symmetry_space_group_name_H-M 'C 1 2/m 1'
_symmetry_Int_Tables_number 12
_symmetry_space_group_name_Hall '-C 2y'
_cell_length_a 5.541
_cell_length_b 9.876
_cell_length_c 8.833
_cell_angle_alpha 90.00
_cell_angle_beta 102.80
_cell_angle_gamma 90.00
loop_
_atom_site_label
_atom_site_fract_x
_atom_site_fract_y
_atom_site_fract_z
Na1 0.000 0.000 0.000
Hg1 0.227 0.500 0.244
Hg2 0.239 0.325 0.740
Pd1 0.000 0.148 0.500
Pd2 0.000 0.325 0.000
Pd3 0.000 0.500 0.500
```

Summary:
Its density of states at the Fermi level is 0.26 states/eV per atom. As for the volume: 19.64 A^3/atom. The calculation puts the theoretical density at 12.390 g cm⁻³.

=====

--- two ---
Entry from Alexandria: NaHg6Pd5 after structural relaxation (GGA-PBE).

```
data_NaHg6Pd5
_symmetry_space_group_name_H-M 'P 63/m c m'
_symmetry_Int_Tables_number 193
_symmetry_space_group_name_Hall '-P 6c 2'
_cell_length_a 8.0350
_cell_length_b 8.0350
_cell_length_c 8.5260
_cell_angle_alpha 90.00
_cell_angle_beta 90.00
_cell_angle_gamma 120.00
loop_
_atom_site_label
_atom_site_fract_x
_atom_site_fract_y
_atom_site_fract_z
Na1 0.0000 0.0000 0.2500
Hg1 0.0000 0.3260 0.0851
Pd1 0.0000 0.3555 0.7500
Pd2 0.3333 0.6667 0.0000
```

Summary:
Its density of states at the Fermi level is 0.39 states/eV per atom. As for the volume: 19.86 A^3/atom. The calculation puts the theoretical density at 12.252 g cm⁻³.

=====

Least stable: two

=====

--- one ---
Entry from Alexandria: RbNaHg2Pd after structural relaxation (GGA-PBE).

```
data_RbNaHg2Pd
_symmetry_space_group_name_H-M 'P 4/m m m'
_symmetry_Int_Tables_number 123
_symmetry_space_group_name_Hall '-P 4 2'
_cell_length_a 5.433
_cell_length_b 5.433
_cell_length_c 5.417
_cell_angle_alpha 90.00
_cell_angle_beta 90.00
_cell_angle_gamma 90.00
loop_
_atom_site_label
_atom_site_fract_x
_atom_site_fract_y
_atom_site_fract_z
Rb1 0.000 0.000 0.000
Na1 0.500 0.500 0.000
Hg1 0.000 0.500 0.500
Pd1 0.500 0.500 0.500
```

Summary:
Its density of states at the Fermi level is 0.48 states/eV per atom. As for the volume: 31.97 A^3/atom. The calculation puts the theoretical density at 6.399 g cm⁻³.

=====

--- two ---
Entry from Alexandria: RbNaHg2Pd after structural relaxation (GGA-PBE).

```
data_RbNaHg2Pd
_symmetry_space_group_name_H-M 'P 4/m m m'
_symmetry_Int_Tables_number 123
_symmetry_space_group_name_Hall '-P 4 2'
_cell_length_a 5.401
_cell_length_b 5.401
_cell_length_c 6.037
_cell_angle_alpha 90.00
_cell_angle_beta 90.00
_cell_angle_gamma 90.00
loop_
_atom_site_label
_atom_site_fract_x
_atom_site_fract_y
_atom_site_fract_z
Rb1 0.000 0.000 0.000
Na1 0.500 0.500 0.000
Hg1 0.000 0.500 0.500
Pd1 0.000 0.000 0.500
```

Summary:
Its density of states at the Fermi level is 0.71 states/eV per atom. As for the volume: 35.21 A^3/atom. The calculation puts the theoretical density at 5.810 g cm⁻³.

=====

Least stable: two

=====

--- one ---
Entry from Alexandria: NaSrHg2Pd after structural relaxation (GGA-PBE).

```
data_NaSrHg2Pd
_symmetry_space_group_name_H-M 'P 4/m m m'
_symmetry_Int_Tables_number 123
_symmetry_space_group_name_Hall '-P 4 2'
_cell_length_a 5.340
_cell_length_b 5.340
_cell_length_c 5.164
_cell_angle_alpha 90.00
_cell_angle_beta 90.00
_cell_angle_gamma 90.00
loop_
_atom_site_label
_atom_site_fract_x
_atom_site_fract_y
_atom_site_fract_z
Na1 0.000 0.000 0.000
Sr1 0.500 0.500 0.000
Hg1 0.000 0.500 0.500
Pd1 0.000 0.000 0.500
```

Summary:
Its density of states at the Fermi level is 0.56 states/eV per atom. As for the volume: 29.45 A^3/atom. The calculation puts the theoretical density at 6.971 g cm⁻³.

=====

--- two ---
Entry from Alexandria: NaSrHg2Pd after structural relaxation (GGA-PBE).

```
data_NaSrHg2Pd
_symmetry_space_group_name_H-M 'P 4/m m m'
_symmetry_Int_Tables_number 123
_symmetry_space_group_name_Hall '-P 4 2'
_cell_length_a 5.421
_cell_length_b 5.421
_cell_length_c 5.518
_cell_angle_alpha 90.00
_cell_angle_beta 90.00
_cell_angle_gamma 90.00
loop_
_atom_site_label
_atom_site_fract_x
_atom_site_fract_y
_atom_site_fract_z
Na1 0.000 0.000 0.000
Sr1 0.500 0.500 0.000
Hg1 0.000 0.500 0.500
Pd1 0.500 0.500 0.500
```

Summary:
Its density of states at the Fermi level is 0.53 states/eV per atom. As for the volume: 32.43 A^3/atom. The calculation puts the theoretical density at 6.332 g cm⁻³.

=====

Least stable: one

=====

--- one ---
Entry from Alexandria: NaTa2HgPd after structural relaxation (GGA-PBE).

```
data_NaTa2HgPd
_symmetry_space_group_name_H-M 'P 4/m m m'
_symmetry_Int_Tables_number 123
_symmetry_space_group_name_Hall '-P 4 2'
_cell_length_a 5.108
_cell_length_b 5.108
_cell_length_c 5.131
_cell_angle_alpha 90.00
_cell_angle_beta 90.00
_cell_angle_gamma 90.00
loop_
_atom_site_label
_atom_site_fract_x
_atom_site_fract_y
_atom_site_fract_z
Na1 0.000 0.000 0.000
Ta1 0.000 0.500 0.500
Hg1 0.500 0.500 0.500
Pd1 0.500 0.500 0.000
```

Summary:
Its density of states at the Fermi level is 1.25 states/eV per atom. As for the volume: 26.77 A^3/atom. The calculation puts the theoretical density at 8.584 g cm⁻³.

=====

--- two ---
Entry from Alexandria: NaTa2HgPd after structural relaxation (GGA-PBE).

```
data_NaTa2HgPd
_symmetry_space_group_name_H-M 'P 4/m m m'
_symmetry_Int_Tables_number 123
_symmetry_space_group_name_Hall '-P 4 2'
_cell_length_a 4.923
_cell_length_b 4.923
_cell_length_c 5.260
_cell_angle_alpha 90.00
_cell_angle_beta 90.00
_cell_angle_gamma 90.00
loop_
_atom_site_label
_atom_site_fract_x
_atom_site_fract_y
_atom_site_fract_z
Na1 0.000 0.000 0.000
Ta1 0.000 0.500 0.500
Hg1 0.500 0.500 0.000
Pd1 0.500 0.500 0.500
```

Summary:
Its density of states at the Fermi level is 1.40 states/eV per atom. As for the volume: 25.49 A^3/atom. The calculation puts the theoretical density at 9.014 g cm⁻³.

=====

Least stable: one

=====

--- one ---
Entry from Alexandria: Na2TlHgPd after structural relaxation (GGA-PBE).

```
data_Na2TlHgPd
_symmetry_space_group_name_H-M 'I m m 2'
_symmetry_Int_Tables_number 44
_symmetry_space_group_name_Hall 'I 2 -2'
_cell_length_a 3.223
_cell_length_b 5.009
_cell_length_c 14.861
_cell_angle_alpha 90.00
_cell_angle_beta 90.00
_cell_angle_gamma 90.00
loop_
_atom_site_label
_atom_site_fract_x
_atom_site_fract_y
_atom_site_fract_z
Na1 0.000 0.000 0.000
Na2 0.000 0.000 0.350
Tl1 0.000 0.000 0.584
Hg1 0.000 0.000 0.786
Pd1 0.000 0.500 0.676
```

Summary:
Its density of states at the Fermi level is 0.42 states/eV per atom. As for the volume: 23.99 A^3/atom. The calculation puts the theoretical density at 7.716 g cm⁻³.

=====

--- two ---
Entry from Alexandria: Na2TlHgPd after structural relaxation (GGA-PBE).

```
data_Na2TlHgPd
_symmetry_space_group_name_H-M 'P 4/m m m'
_symmetry_Int_Tables_number 123
_symmetry_space_group_name_Hall '-P 4 2'
_cell_length_a 5.451
_cell_length_b 5.451
_cell_length_c 5.272
_cell_angle_alpha 90.00
_cell_angle_beta 90.00
_cell_angle_gamma 90.00
loop_
_atom_site_label
_atom_site_fract_x
_atom_site_fract_y
_atom_site_fract_z
Na1 0.000 0.500 0.000
Tl1 0.000 0.000 0.500
Hg1 0.500 0.500 0.500
Pd1 0.000 0.000 0.000
```

Summary:
Its density of states at the Fermi level is 0.39 states/eV per atom. As for the volume: 31.32 A^3/atom. The calculation puts the theoretical density at 5.909 g cm⁻³.

=====

Least stable: two